[1]
The following is a PBE calculation of a geometry-optimized ThSc2Al2Zn2 structure, from Alexandria.

Raw total energy (eV per atom): -4.5906
Crystal system: trigonal

The structure in CIF format:
```
data_ThSc2Al2Zn2
_cell_length_a 4.4083
_cell_length_b 4.4083
_cell_length_c 26.6514
_cell_angle_alpha 90.00
_cell_angle_beta 90.00
_cell_angle_gamma 120.00
_symmetry_space_group_name_H-M 'R -3 m'
_symmetry_Int_Tables_number 166
_symmetry_space_group_name_Hall '-R 3 2"'
loop_
_atom_site_label
_atom_site_type_symbol
_atom_site_fract_x
_atom_site_fract_y
_atom_site_fract_z
Th1 Th 0.0000 0.0000 0.0000
Sc1 Sc 0.0000 0.0000 0.1321
Al1 Al 0.0000 0.0000 0.2538
Zn1 Zn 0.0000 0.0000 0.4099
```



[2]
The following is a PBE calculation of a geometry-optimized ScTiAl5 structure, from Alexandria.

Raw total energy (eV per atom): -4.7054
Crystal system: tetragonal

The structure in CIF format:
```
data_ScTiAl5
_cell_length_a 4.686
_cell_length_b 4.686
_cell_length_c 5.939
_cell_angle_alpha 90.00
_cell_angle_beta 90.00
_cell_angle_gamma 90.00
_symmetry_space_group_name_H-M 'P 4/m m m'
_symmetry_Int_Tables_number 123
_symmetry_space_group_name_Hall '-P 4 2'
loop_
_atom_site_label
_atom_site_type_symbol
_atom_site_fract_x
_atom_site_fract_y
_atom_site_fract_z
Sc1 Sc 0.000 0.000 0.000
Ti1 Ti 0.500 0.500 0.500
Al1 Al 0.000 0.500 0.276
Al2 Al 0.500 0.500 0.000
```



[3]
The following is a PBE calculation of a geometry-optimized ScTiAl3 structure, from Alexandria.

Crystal system: orthorhombic
Energy relative to the lowest polymorph listed for this composition (eV per atom): 0.000

The structure in CIF format:
```
data_ScTiAl3
_cell_length_a 5.246
_cell_length_b 14.677
_cell_length_c 4.938
_cell_angle_alpha 90.00
_cell_angle_beta 90.00
_cell_angle_gamma 90.00
_symmetry_space_group_name_H-M 'C m c m'
_symmetry_Int_Tables_number 63
_symmetry_space_group_name_Hall '-C 2c 2'
loop_
_atom_site_label
_atom_site_type_symbol
_atom_site_fract_x
_atom_site_fract_y
_atom_site_fract_z
Sc1 Sc 0.000 0.194 0.250
Ti1 Ti 0.000 0.441 0.750
Al1 Al 0.000 0.000 0.000
Al2 Al 0.237 0.373 0.250
```



[4]
The following is a PBE calculation of a geometry-optimized ScTiAl structure, from Alexandria.

Crystal system: hexagonal
Energy relative to the lowest polymorph listed for this composition (eV per atom): 0.150

The structure in CIF format:
```
data_ScTiAl
_cell_length_a 4.7263
_cell_length_b 4.7263
_cell_length_c 2.8361
_cell_angle_alpha 90.00
_cell_angle_beta 90.00
_cell_angle_gamma 120.00
_symmetry_space_group_name_H-M 'P -6 m 2'
_symmetry_Int_Tables_number 187
_symmetry_space_group_name_Hall 'P -6 2'
loop_
_atom_site_label
_atom_site_type_symbol
_atom_site_fract_x
_atom_site_fract_y
_atom_site_fract_z
Sc1 Sc 0.0000 0.0000 0.0000
Ti1 Ti 0.3333 0.6667 0.0000
Al1 Al 0.6667 0.3333 0.5000
```



[5]
The following is a PBE calculation of a geometry-optimized Sc5TiAl4 structure, from Alexandria.

Raw total energy (eV per atom): -5.7971
Crystal system: tetragonal

The structure in CIF format:
```
data_Sc5TiAl4
_cell_length_a 3.206
_cell_length_b 3.206
_cell_length_c 19.094
_cell_angle_alpha 90.00
_cell_angle_beta 90.00
_cell_angle_gamma 90.00
_symmetry_space_group_name_H-M 'P 4/m m m'
_symmetry_Int_Tables_number 123
_symmetry_space_group_name_Hall '-P 4 2'
loop_
_atom_site_label
_atom_site_type_symbol
_atom_site_fract_x
_atom_site_fract_y
_atom_site_fract_z
Sc1 Sc 0.000 0.000 0.000
Sc2 Sc 0.000 0.000 0.198
Sc3 Sc 0.000 0.000 0.396
Ti1 Ti 0.500 0.500 0.500
Al1 Al 0.500 0.500 0.099
Al2 Al 0.500 0.500 0.297
```



[6]
The following is a PBE calculation of a geometry-optimized Sc2Ti5Al4 structure, from Alexandria.

Raw total energy (eV per atom): -6.2655
Crystal system: monoclinic

The structure in CIF format:
```
data_Sc2Ti5Al4
_cell_length_a 7.174
_cell_length_b 2.842
_cell_length_c 9.474
_cell_angle_alpha 90.00
_cell_angle_beta 94.79
_cell_angle_gamma 90.00
_symmetry_space_group_name_H-M 'P 1 2/m 1'
_symmetry_Int_Tables_number 10
loop_
_symmetry_equiv_pos_as_xyz
'x,y,z'
'-x,-y,-z'
'-x,y,-z'
'x,-y,z'
loop_
_atom_site_label
_atom_site_type_symbol
_atom_site_fract_x
_atom_site_fract_y
_atom_site_fract_z
Sc1 Sc 0.064 0.000 0.143
Ti1 Ti 0.208 0.000 0.670
Ti2 Ti 0.435 0.000 0.210
Ti3 Ti 0.500 0.000 0.500
Al1 Al 0.165 0.500 0.404
Al2 Al 0.302 0.500 0.944
```



[7]
The following is a PBE calculation of a geometry-optimized Sc5TiAl6 structure, from Alexandria.

Raw total energy (eV per atom): -5.5743
Crystal system: orthorhombic

The structure in CIF format:
```
data_Sc5TiAl6
_cell_length_a 4.773
_cell_length_b 6.595
_cell_length_c 14.243
_cell_angle_alpha 90.00
_cell_angle_beta 90.00
_cell_angle_gamma 90.00
_symmetry_space_group_name_H-M 'I m m m'
_symmetry_Int_Tables_number 71
_symmetry_space_group_name_Hall '-I 2 2'
loop_
_atom_site_label
_atom_site_type_symbol
_atom_site_fract_x
_atom_site_fract_y
_atom_site_fract_z
Sc1 Sc 0.000 0.000 0.000
Sc2 Sc 0.000 0.000 0.328
Sc3 Sc 0.000 0.500 0.336
Ti1 Ti 0.000 0.500 0.000
Al1 Al 0.000 0.228 0.500
Al2 Al 0.000 0.259 0.162
```



[8]
The following is a PBE calculation of a geometry-optimized Sc2TiAl2 structure, from Alexandria.

Crystal system: tetragonal
Energy relative to the lowest polymorph listed for this composition (eV per atom): 0.198

The structure in CIF format:
```
data_Sc2TiAl2
_cell_length_a 8.146
_cell_length_b 8.146
_cell_length_c 2.999
_cell_angle_alpha 90.00
_cell_angle_beta 90.00
_cell_angle_gamma 90.00
_symmetry_space_group_name_H-M 'P 4/m b m'
_symmetry_Int_Tables_number 127
_symmetry_space_group_name_Hall '-P 4 2ab'
loop_
_atom_site_label
_atom_site_type_symbol
_atom_site_fract_x
_atom_site_fract_y
_atom_site_fract_z
Sc1 Sc 0.125 0.375 0.000
Ti1 Ti 0.000 0.000 0.000
Al1 Al 0.175 0.675 0.500
```



[9]
The following is a PBE calculation of a geometry-optimized ScTi2Al structure, from Alexandria.

Raw total energy (eV per atom): -6.5835
Crystal system: tetragonal

The structure in CIF format:
```
data_ScTi2Al
_cell_length_a 2.943
_cell_length_b 2.943
_cell_length_c 8.462
_cell_angle_alpha 90.00
_cell_angle_beta 90.00
_cell_angle_gamma 90.00
_symmetry_space_group_name_H-M 'P 4/m m m'
_symmetry_Int_Tables_number 123
_symmetry_space_group_name_Hall '-P 4 2'
loop_
_atom_site_label
_atom_site_type_symbol
_atom_site_fract_x
_atom_site_fract_y
_atom_site_fract_z
Sc1 Sc 0.000 0.000 0.000
Ti1 Ti 0.500 0.500 0.273
Al1 Al 0.000 0.000 0.500
```



[10]
The following is a PBE calculation of a geometry-optimized ScTi2Al structure, from Alexandria.

Raw total energy (eV per atom): -6.6499
Crystal system: tetragonal

The structure in CIF format:
```
data_ScTi2Al
_cell_length_a 4.152
_cell_length_b 4.152
_cell_length_c 4.182
_cell_angle_alpha 90.00
_cell_angle_beta 90.00
_cell_angle_gamma 90.00
_symmetry_space_group_name_H-M 'P 4/m m m'
_symmetry_Int_Tables_number 123
_symmetry_space_group_name_Hall '-P 4 2'
loop_
_atom_site_label
_atom_site_type_symbol
_atom_site_fract_x
_atom_site_fract_y
_atom_site_fract_z
Sc1 Sc 0.000 0.000 0.000
Ti1 Ti 0.000 0.500 0.500
Al1 Al 0.500 0.500 0.000
```



[11]
The following is a PBE calculation of a geometry-optimized ScTi3Al structure, from Alexandria.

Crystal system: cubic
Energy relative to the lowest polymorph listed for this composition (eV per atom): 0.000

The structure in CIF format:
```
data_ScTi3Al
_cell_length_a 4.779
_cell_length_b 4.779
_cell_length_c 4.779
_cell_angle_alpha 90.00
_cell_angle_beta 90.00
_cell_angle_gamma 90.00
_symmetry_space_group_name_H-M 'P m -3 m'
_symmetry_Int_Tables_number 221
_symmetry_space_group_name_Hall '-P 4 2 3'
loop_
_atom_site_label
_atom_site_type_symbol
_atom_site_fract_x
_atom_site_fract_y
_atom_site_fract_z
Sc1 Sc 0.000 0.000 0.000
Ti1 Ti 0.000 0.500 0.500
Al1 Al 0.500 0.500 0.500
```



[12]
The following is a PBE calculation of a geometry-optimized Sc2TiAl9 structure, from Alexandria.

Raw total energy (eV per atom): -4.9410
Crystal system: tetragonal

The structure in CIF format:
```
data_Sc2TiAl9
_cell_length_a 4.069
_cell_length_b 4.069
_cell_length_c 12.143
_cell_angle_alpha 90.00
_cell_angle_beta 90.00
_cell_angle_gamma 90.00
_symmetry_space_group_name_H-M 'P 4/m m m'
_symmetry_Int_Tables_number 123
_symmetry_space_group_name_Hall '-P 4 2'
loop_
_atom_site_label
_atom_site_type_symbol
_atom_site_fract_x
_atom_site_fract_y
_atom_site_fract_z
Sc1 Sc 0.000 0.000 0.170
Ti1 Ti 0.000 0.000 0.500
Al1 Al 0.000 0.500 0.000
Al2 Al 0.000 0.500 0.340
Al3 Al 0.500 0.500 0.170
Al4 Al 0.500 0.500 0.500
```



[13]
The following is a PBE calculation of a geometry-optimized ScTi2Al structure, from Alexandria.

Raw total energy (eV per atom): -6.6595
Crystal system: orthorhombic

The structure in CIF format:
```
data_ScTi2Al
_cell_length_a 3.127
_cell_length_b 20.994
_cell_length_c 4.559
_cell_angle_alpha 90.00
_cell_angle_beta 90.00
_cell_angle_gamma 90.00
_symmetry_space_group_name_H-M 'C m c m'
_symmetry_Int_Tables_number 63
_symmetry_space_group_name_Hall '-C 2c 2'
loop_
_atom_site_label
_atom_site_type_symbol
_atom_site_fract_x
_atom_site_fract_y
_atom_site_fract_z
Sc1 Sc 0.000 0.203 0.250
Ti1 Ti 0.000 0.042 0.750
Ti2 Ti 0.000 0.425 0.750
Al1 Al 0.000 0.346 0.250
```



[14]
The following is a PBE calculation of a geometry-optimized Sc4TiAl5 structure, from Alexandria.

Raw total energy (eV per atom): -5.6056
Crystal system: tetragonal

The structure in CIF format:
```
data_Sc4TiAl5
_cell_length_a 3.363
_cell_length_b 3.363
_cell_length_c 16.475
_cell_angle_alpha 90.00
_cell_angle_beta 90.00
_cell_angle_gamma 90.00
_symmetry_space_group_name_H-M 'P 4/m m m'
_symmetry_Int_Tables_number 123
_symmetry_space_group_name_Hall '-P 4 2'
loop_
_atom_site_label
_atom_site_type_symbol
_atom_site_fract_x
_atom_site_fract_y
_atom_site_fract_z
Sc1 Sc 0.000 0.000 0.103
Sc2 Sc 0.000 0.000 0.309
Ti1 Ti 0.000 0.000 0.500
Al1 Al 0.500 0.500 0.000
Al2 Al 0.500 0.500 0.206
Al3 Al 0.500 0.500 0.414
```



[15]
The following is a PBE calculation of a geometry-optimized Sc4TiAl structure, from Alexandria.

Raw total energy (eV per atom): -6.2637
Crystal system: orthorhombic

The structure in CIF format:
```
data_Sc4TiAl
_cell_length_a 4.413
_cell_length_b 13.324
_cell_length_c 4.390
_cell_angle_alpha 90.00
_cell_angle_beta 90.00
_cell_angle_gamma 90.00
_symmetry_space_group_name_H-M 'C m m m'
_symmetry_Int_Tables_number 65
_symmetry_space_group_name_Hall '-C 2 2'
loop_
_atom_site_label
_atom_site_type_symbol
_atom_site_fract_x
_atom_site_fract_y
_atom_site_fract_z
Sc1 Sc 0.000 0.154 0.000
Sc2 Sc 0.000 0.342 0.500
Ti1 Ti 0.000 0.000 0.500
Al1 Al 0.000 0.500 0.000
```



[16]
The following is a PBE calculation of a geometry-optimized Sc2TiAl2 structure, from Alexandria.

Crystal system: tetragonal
Energy relative to the lowest polymorph listed for this composition (eV per atom): 0.000

The structure in CIF format:
```
data_Sc2TiAl2
_cell_length_a 7.566
_cell_length_b 7.566
_cell_length_c 3.495
_cell_angle_alpha 90.00
_cell_angle_beta 90.00
_cell_angle_gamma 90.00
_symmetry_space_group_name_H-M 'P 4/m b m'
_symmetry_Int_Tables_number 127
_symmetry_space_group_name_Hall '-P 4 2ab'
loop_
_atom_site_label
_atom_site_type_symbol
_atom_site_fract_x
_atom_site_fract_y
_atom_site_fract_z
Sc1 Sc 0.176 0.324 0.000
Ti1 Ti 0.000 0.000 0.500
Al1 Al 0.125 0.625 0.500
```



[17]
The following is a PBE calculation of a geometry-optimized ScTi2Al structure, from Alexandria.

Raw total energy (eV per atom): -6.1793
Crystal system: tetragonal

The structure in CIF format:
```
data_ScTi2Al
_cell_length_a 7.456
_cell_length_b 7.456
_cell_length_c 5.525
_cell_angle_alpha 90.00
_cell_angle_beta 90.00
_cell_angle_gamma 90.00
_symmetry_space_group_name_H-M 'I -4 2 d'
_symmetry_Int_Tables_number 122
_symmetry_space_group_name_Hall 'I -4 2bw'
loop_
_atom_site_label
_atom_site_type_symbol
_atom_site_fract_x
_atom_site_fract_y
_atom_site_fract_z
Sc1 Sc 0.000 0.000 0.000
Ti1 Ti 0.231 0.750 0.625
Al1 Al 0.000 0.000 0.500
```



[18]
The following is a PBE calculation of a geometry-optimized Sc7TiAl4 structure, from Alexandria.

Raw total energy (eV per atom): -5.6674
Crystal system: monoclinic

The structure in CIF format:
```
data_Sc7TiAl4
_cell_length_a 13.435
_cell_length_b 5.018
_cell_length_c 8.906
_cell_angle_alpha 90.00
_cell_angle_beta 122.04
_cell_angle_gamma 90.00
_symmetry_space_group_name_H-M 'C 1 2/m 1'
_symmetry_Int_Tables_number 12
loop_
_symmetry_equiv_pos_as_xyz
'x,y,z'
'-x,-y,-z'
'-x,y,-z'
'x,-y,z'
'x+1/2,y+1/2,z'
'-x+1/2,-y+1/2,-z'
'-x+1/2,y+1/2,-z'
'x+1/2,-y+1/2,z'
loop_
_atom_site_label
_atom_site_type_symbol
_atom_site_fract_x
_atom_site_fract_y
_atom_site_fract_z
Sc1 Sc 0.000 0.000 0.000
Sc2 Sc 0.077 0.500 0.422
Sc3 Sc 0.201 0.500 0.875
Sc4 Sc 0.249 0.000 0.707
Ti1 Ti 0.000 0.500 0.000
Al1 Al 0.046 0.000 0.704
Al2 Al 0.173 0.000 0.345
```



[19]
The following is a PBE calculation of a geometry-optimized ScTi2Al structure, from Alexandria.

Raw total energy (eV per atom): -6.4751
Crystal system: trigonal

The structure in CIF format:
```
data_ScTi2Al
_cell_length_a 3.0012
_cell_length_b 3.0012
_cell_length_c 28.5422
_cell_angle_alpha 90.00
_cell_angle_beta 90.00
_cell_angle_gamma 120.00
_symmetry_space_group_name_H-M 'R 3 m'
_symmetry_Int_Tables_number 160
_symmetry_space_group_name_Hall 'R 3 -2"'
loop_
_atom_site_label
_atom_site_type_symbol
_atom_site_fract_x
_atom_site_fract_y
_atom_site_fract_z
Sc1 Sc 0.0000 0.0000 0.0000
Ti1 Ti 0.0000 0.0000 0.2461
Ti2 Ti 0.0000 0.0000 0.4197
Al1 Al 0.0000 0.0000 0.8333
```



[20]
The following is a PBE calculation of a geometry-optimized ScTiAl structure, from Alexandria.

Crystal system: tetragonal
Energy relative to the lowest polymorph listed for this composition (eV per atom): 0.006

The structure in CIF format:
```
data_ScTiAl
_cell_length_a 3.051
_cell_length_b 3.051
_cell_length_c 12.080
_cell_angle_alpha 90.00
_cell_angle_beta 90.00
_cell_angle_gamma 90.00
_symmetry_space_group_name_H-M 'I 4 m m'
_symmetry_Int_Tables_number 107
_symmetry_space_group_name_Hall 'I 4 -2'
loop_
_atom_site_label
_atom_site_type_symbol
_atom_site_fract_x
_atom_site_fract_y
_atom_site_fract_z
Sc1 Sc 0.000 0.000 0.000
Ti1 Ti 0.000 0.000 0.324
Al1 Al 0.000 0.000 0.673
```